No. 1
Entry from Alexandria via LeMat-Bulk: a relaxed PmSnHg6 crystal (PBE).

ΔH_f (0 K) = 0.1429 eV per atom
size of the total moment = 0.0 μB/f.u.

Structure (CIF):
```
data_PmSnHg6
_cell_length_a 6.3478
_cell_length_b 6.3478
_cell_length_c 22.9194
_cell_angle_alpha 90.00
_cell_angle_beta 90.00
_cell_angle_gamma 120.00
_space_group_name_H-M_alt 'R -3 m'
_space_group_IT_number 166
_space_group_name_Hall '-R 3 2"'
loop_
_atom_site_label
_atom_site_fract_x
_atom_site_fract_y
_atom_site_fract_z
Pm1 0.0000 0.0000 0.0000
Sn1 0.0000 0.0000 0.5000
Hg1 0.0165 0.5083 0.4352
```



No. 2
Entry from Alexandria via LeMat-Bulk: a relaxed Dy3Ho2Tl crystal (PBE).

ΔH_f (0 K) = -0.1091 eV per atom
size of the total moment = 0.0 μB/f.u.

Structure (CIF):
```
data_Dy3Ho2Tl
_cell_length_a 4.862
_cell_length_b 15.078
_cell_length_c 4.849
_cell_angle_alpha 90.00
_cell_angle_beta 90.00
_cell_angle_gamma 90.00
_space_group_name_H-M_alt 'C m m m'
_space_group_IT_number 65
_space_group_name_Hall '-C 2 2'
loop_
_atom_site_label
_atom_site_fract_x
_atom_site_fract_y
_atom_site_fract_z
Dy1 0.000 0.000 0.000
Dy2 0.000 0.331 0.000
Ho1 0.000 0.163 0.500
Tl1 0.000 0.500 0.500
```



No. 3
Entry from Alexandria via LeMat-Bulk: a relaxed InAg2Br4 crystal (PBE).

uncorrected formation energy = -31.0 kJ/mol of atoms
size of the total moment = 0.0 μB/f.u.
energy above the lowest structure with this stoichiometry = 116 meV per atom

Structure (CIF):
```
data_InAg2Br4
_cell_length_a 5.715
_cell_length_b 5.715
_cell_length_c 13.456
_cell_angle_alpha 90.00
_cell_angle_beta 90.00
_cell_angle_gamma 90.00
_space_group_name_H-M_alt 'I 4/m m m'
_space_group_IT_number 139
_space_group_name_Hall '-I 4 2'
loop_
_atom_site_label
_atom_site_fract_x
_atom_site_fract_y
_atom_site_fract_z
In1 0.000 0.000 0.000
Ag1 0.000 0.000 0.396
Br1 0.000 0.000 0.204
Br2 0.000 0.500 0.000
```



No. 4
Entry from Alexandria via LeMat-Bulk: a relaxed Cd4Te5 crystal (PBE).

uncorrected formation energy = 12.0 kJ/mol of atoms
size of the total moment = 0.0 μB/f.u.
energy above the lowest structure with this stoichiometry = 131 meV per atom

Structure (CIF):
```
data_Cd4Te5
_cell_length_a 11.355
_cell_length_b 11.355
_cell_length_c 3.856
_cell_angle_alpha 90.00
_cell_angle_beta 90.00
_cell_angle_gamma 90.00
_space_group_name_H-M_alt 'I 4/m m m'
_space_group_IT_number 139
_space_group_name_Hall '-I 4 2'
loop_
_atom_site_label
_atom_site_fract_x
_atom_site_fract_y
_atom_site_fract_z
Cd1 0.000 0.342 0.000
Te1 0.000 0.000 0.000
Te2 0.176 0.176 0.500
```



No. 5
Entry from Alexandria via LeMat-Bulk: a relaxed PrGdTe2 crystal (PBE).

uncorrected formation energy = -138.3 kJ/mol of atoms
size of the total moment = 6.8 μB/f.u.
energy above the lowest structure with this stoichiometry = 0 meV per atom

Structure (CIF):
```
data_PrGdTe2
_cell_length_a 4.4607
_cell_length_b 4.4607
_cell_length_c 22.0153
_cell_angle_alpha 90.00
_cell_angle_beta 90.00
_cell_angle_gamma 120.00
_space_group_name_H-M_alt 'R -3 m'
_space_group_IT_number 166
_space_group_name_Hall '-R 3 2"'
loop_
_atom_site_label
_atom_site_fract_x
_atom_site_fract_y
_atom_site_fract_z
Pr1 0.0000 0.0000 0.0000
Gd1 0.0000 0.0000 0.5000
Te1 0.0000 0.0000 0.2464
```



No. 6
Entry from Alexandria via LeMat-Bulk: a relaxed LiGa3Cu4 crystal (PBE).

ΔH_f (0 K) = -0.0072 eV per atom
size of the total moment = 0.0 μB/f.u.
energy above the lowest structure with this stoichiometry = 0 meV per atom

Structure (CIF):
```
data_LiGa3Cu4
_cell_length_a 5.244
_cell_length_b 8.616
_cell_length_c 4.970
_cell_angle_alpha 90.00
_cell_angle_beta 90.00
_cell_angle_gamma 90.00
_space_group_name_H-M_alt 'I m m 2'
_space_group_IT_number 44
loop_
_space_group_symop_operation_xyz
'x,y,z'
'-x,-y,z'
'-x,y,z'
'x,-y,z'
'x+1/2,y+1/2,z+1/2'
'-x+1/2,-y+1/2,z+1/2'
'-x+1/2,y+1/2,z+1/2'
'x+1/2,-y+1/2,z+1/2'
loop_
_atom_site_label
_atom_site_fract_x
_atom_site_fract_y
_atom_site_fract_z
Li1 0.000 0.000 0.000
Ga1 0.000 0.246 0.269
Ga2 0.000 0.500 0.541
Cu1 0.000 0.251 0.771
Cu2 0.244 0.000 0.521
```



No. 7
Entry from Alexandria via LeMat-Bulk: a relaxed Al2SbAu2 crystal (PBE).

uncorrected formation energy = -12.3 kJ/mol of atoms
size of the total moment = 0.0 μB/f.u.
energy above the lowest structure with this stoichiometry = 78 meV per atom

Structure (CIF):
```
data_Al2SbAu2
_cell_length_a 7.764
_cell_length_b 7.764
_cell_length_c 3.191
_cell_angle_alpha 90.00
_cell_angle_beta 90.00
_cell_angle_gamma 90.00
_space_group_name_H-M_alt 'P 4/m b m'
_space_group_IT_number 127
_space_group_name_Hall '-P 4 2ab'
loop_
_atom_site_label
_atom_site_fract_x
_atom_site_fract_y
_atom_site_fract_z
Al1 0.157 0.343 0.000
Sb1 0.000 0.000 0.500
Au1 0.137 0.637 0.500
```



No. 8
Entry from Alexandria via LeMat-Bulk: a relaxed Ca2B2Mo crystal (PBE).

ΔH_f (0 K) = 0.5666 eV per atom
size of the total moment = 0.0 μB/f.u.
energy above the lowest structure with this stoichiometry = 0 meV per atom

Structure (CIF):
```
data_Ca2B2Mo
_cell_length_a 6.357
_cell_length_b 6.357
_cell_length_c 4.298
_cell_angle_alpha 90.00
_cell_angle_beta 90.00
_cell_angle_gamma 90.00
_space_group_name_H-M_alt 'P 4/m b m'
_space_group_IT_number 127
_space_group_name_Hall '-P 4 2ab'
loop_
_atom_site_label
_atom_site_fract_x
_atom_site_fract_y
_atom_site_fract_z
Ca1 0.157 0.343 0.000
B1 0.186 0.686 0.500
Mo1 0.000 0.000 0.500
```



No. 9
Entry from Alexandria via LeMat-Bulk: a relaxed Ho2OsRu crystal (PBE).

ΔH_f (0 K) = 0.5378 eV per atom
size of the total moment = 0.0 μB/f.u.
energy above the lowest structure with this stoichiometry = 749 meV per atom

Structure (CIF):
```
data_Ho2OsRu
_cell_length_a 3.1785
_cell_length_b 3.1785
_cell_length_c 28.4873
_cell_angle_alpha 90.00
_cell_angle_beta 90.00
_cell_angle_gamma 120.00
_space_group_name_H-M_alt 'R -3 m'
_space_group_IT_number 166
_space_group_name_Hall '-R 3 2"'
loop_
_atom_site_label
_atom_site_fract_x
_atom_site_fract_y
_atom_site_fract_z
Ho1 0.0000 0.0000 0.0907
Os1 0.0000 0.0000 0.5000
Ru1 0.0000 0.0000 0.0000
```



No. 10
Entry from Alexandria via LeMat-Bulk: a relaxed Sm2AuN2 crystal (PBE).

uncorrected formation energy = -108.2 kJ/mol of atoms
size of the total moment = 0.0 μB/f.u.

Structure (CIF):
```
data_Sm2AuN2
_cell_length_a 3.607
_cell_length_b 3.607
_cell_length_c 12.971
_cell_angle_alpha 90.00
_cell_angle_beta 90.00
_cell_angle_gamma 90.00
_space_group_name_H-M_alt 'I 4/m m m'
_space_group_IT_number 139
_space_group_name_Hall '-I 4 2'
loop_
_atom_site_label
_atom_site_fract_x
_atom_site_fract_y
_atom_site_fract_z
Sm1 0.000 0.000 0.155
Au1 0.000 0.000 0.500
N1 0.000 0.000 0.336
```



No. 11
Entry from Alexandria via LeMat-Bulk: a relaxed PmFe3Ge3 crystal (PBE).

ΔH_f (0 K) = -0.2618 eV per atom
size of the total moment = 3.2 μB/f.u.
energy above the lowest structure with this stoichiometry = 0 meV per atom

Structure (CIF):
```
data_PmFe3Ge3
_cell_length_a 8.2890
_cell_length_b 8.2890
_cell_length_c 4.0678
_cell_angle_alpha 90.00
_cell_angle_beta 90.00
_cell_angle_gamma 120.00
_space_group_name_H-M_alt 'P 63/m'
_space_group_IT_number 176
_space_group_name_Hall '-P 6c'
loop_
_atom_site_label
_atom_site_fract_x
_atom_site_fract_y
_atom_site_fract_z
Pm1 0.3333 0.6667 0.2500
Fe1 0.0528 0.1951 0.2500
Ge1 0.0912 0.3762 0.7500
```



No. 12
Entry from Alexandria via LeMat-Bulk: a relaxed AlPtN2 crystal (PBE).

uncorrected formation energy = -3.2 kJ/mol of atoms
size of the total moment = 0.0 μB/f.u.

Structure (CIF):
```
data_AlPtN2
_cell_length_a 2.8949
_cell_length_b 2.8949
_cell_length_c 18.2312
_cell_angle_alpha 90.00
_cell_angle_beta 90.00
_cell_angle_gamma 120.00
_space_group_name_H-M_alt 'R -3 m'
_space_group_IT_number 166
_space_group_name_Hall '-R 3 2"'
loop_
_atom_site_label
_atom_site_fract_x
_atom_site_fract_y
_atom_site_fract_z
Al1 0.0000 0.0000 0.0000
Pt1 0.0000 0.0000 0.5000
N1 0.0000 0.0000 0.3940
```



No. 13
Entry from Alexandria via LeMat-Bulk: a relaxed SrLa2P2 crystal (PBE).

ΔH_f (0 K) = -1.1429 eV per atom
size of the total moment = 0.0 μB/f.u.
energy above the lowest structure with this stoichiometry = 0 meV per atom

Structure (CIF):
```
data_SrLa2P2
_cell_length_a 8.162
_cell_length_b 8.162
_cell_length_c 4.082
_cell_angle_alpha 90.00
_cell_angle_beta 90.00
_cell_angle_gamma 90.00
_space_group_name_H-M_alt 'P 4/m b m'
_space_group_IT_number 127
_space_group_name_Hall '-P 4 2ab'
loop_
_atom_site_label
_atom_site_fract_x
_atom_site_fract_y
_atom_site_fract_z
Sr1 0.000 0.000 0.000
La1 0.149 0.351 0.500
P1 0.154 0.654 0.000
```